# 1
First-principles (PBE) data for a geometry-optimized La2NdPa structure, as listed in Alexandria.

For the formation energy, the calculation gives 0.131 eV/atom. As for the density of states at the Fermi level: 6.14 states/eV/f.u. Its distance to the lowest polymorph of the same formula is 0.000 eV per atom. The value obtained for the raw total energy is -23.6 eV per cell. As for the crystal system: tetragonal.

It has space group P4/mmm (No. 123), with a = 3.4900 Å, b = 3.4900 Å, c = 10.5957 Å, α = 90.00°, β = 90.00° and γ = 90.00°. The inequivalent atoms are La at (0.0000, 0.0000, 0.2229), Nd at (0.5000, 0.5000, 0.5000) and Pa at (0.5000, 0.5000, 0.0000).



# 2
First-principles (PBE) data for a geometry-optimized Zn4Ag3Pt structure, as listed in Alexandria.

For the formation energy, the calculation gives -0.165 eV/atom. As for the density of states at the Fermi level: 1.79 states/eV/f.u. The value obtained for the raw total energy is -21.0 eV per cell. As for the crystal system: tetragonal.

It has space group P4/mmm (No. 123), with a = 2.8691 Å, b = 2.8691 Å, c = 15.4235 Å, α = 90.00°, β = 90.00° and γ = 90.00°. The inequivalent atoms are Zn at (0.0000, 0.0000, 0.1139), Zn at (0.0000, 0.0000, 0.3720), Ag at (0.5000, 0.5000, 0.2439), Ag at (0.5000, 0.5000, 0.5000) and Pt at (0.5000, 0.5000, 0.0000).



# 3
First-principles (PBE) data for a geometry-optimized Ca2Mg2CdAg5 structure, as listed in Alexandria.

For the formation energy, the calculation gives -0.147 eV/atom. As for the density of states at the Fermi level: 4.74 states/eV/f.u. The value obtained for the raw total energy is -47.7 eV per cell. As for the crystal system: tetragonal.

It has space group P4/mbm (No. 127), with a = 11.0992 Å, b = 11.0992 Å, c = 3.6302 Å, α = 90.00°, β = 90.00° and γ = 90.00°. The inequivalent atoms are Ca at (0.1735, 0.3265, 0.0000), Mg at (0.1266, 0.6266, 0.0000), Cd at (0.0000, 0.0000, 0.0000), Ag at (0.0000, 0.5000, 0.5000) and Ag at (0.0564, 0.8056, 0.5000).